Record 1
## Hf2TiHg (PBE-GGA)

Data for a geometry-optimized Hf2TiHg structure.

a = 9.990 Å, b = 9.990 Å, c = 9.990 Å
α = 18.09°, β = 18.09°, γ = 18.09°
Positions (direct):
Hf: 0.000 0.000 0.000
Hf: 0.173 0.173 0.173
Ti: 0.586 0.586 0.586
Hg: 0.753 0.753 0.753

Values from the calculation:
Density of states at the Fermi level (states/eV/cell): 4.4
Crystal system: trigonal
ΔE_f (eV per atom): 0.05
Space-group type: No. 160


Record 2
## YHfTi2Hg (PBE-GGA)

Data for a geometry-optimized YHfTi2Hg structure.

a = 4.846 Å, b = 4.846 Å, c = 5.258 Å
α = 90.00°, β = 90.00°, γ = 90.00°
Positions (direct):
Y: 0.000 0.000 0.000
Hf: 0.000 0.000 0.500
Ti: 0.000 0.500 0.000
Ti: 0.500 0.000 0.000
Hg: 0.500 0.500 0.500

Values from the calculation:
Density of states at the Fermi level (states/eV/cell): 8.8
Crystal system: tetragonal
ΔE_f (eV per atom): 1.46
Space-group type: No. 123


Record 3
## HfTiZnHg (PBE-GGA)

Data for a geometry-optimized HfTiZnHg structure.

a = 3.085 Å, b = 3.085 Å, c = 7.741 Å
α = 90.00°, β = 90.00°, γ = 90.00°
Positions (direct):
Hf: 0.000 0.000 0.000
Ti: 0.000 0.000 0.537
Zn: 0.500 0.500 0.758
Hg: 0.500 0.500 0.281

Values from the calculation:
Density of states at the Fermi level (states/eV/cell): 4.0
Crystal system: tetragonal
ΔE_f (eV per atom): -0.08
Space-group type: No. 99


Record 4
## HfZrTiHg (PBE-GGA)

Data for a geometry-optimized HfZrTiHg structure.

a = 3.109 Å, b = 3.109 Å, c = 8.599 Å
α = 90.00°, β = 90.00°, γ = 90.00°
Positions (direct):
Hf: 0.000 0.000 0.000
Zr: 0.000 0.000 0.476
Ti: 0.500 0.500 0.232
Hg: 0.500 0.500 0.740

Values from the calculation:
Density of states at the Fermi level (states/eV/cell): 4.0
Crystal system: tetragonal
ΔE_f (eV per atom): -0.07
Space-group type: No. 99


Record 5
## Hf4TlHg (PBE-GGA)

Data for a geometry-optimized Hf4TlHg structure.

a = 3.158 Å, b = 3.158 Å, c = 13.476 Å
α = 90.00°, β = 90.00°, γ = 90.00°
Positions (direct):
Hf: 0.000 0.000 0.163
Hf: 0.000 0.000 0.837
Hf: 0.500 0.500 0.320
Hf: 0.500 0.500 0.680
Tl: 0.000 0.000 0.500
Hg: 0.500 0.500 0.000

Values from the calculation:
Density of states at the Fermi level (states/eV/cell): 6.6
Crystal system: tetragonal
ΔE_f (eV per atom): -0.05
Space-group type: No. 123


Record 6
## HfTl3Hg (PBE-GGA)

Data for a geometry-optimized HfTl3Hg structure.

a = 5.720 Å, b = 5.720 Å, c = 5.720 Å
α = 90.00°, β = 90.00°, γ = 90.00°
Positions (direct):
Hf: 0.000 0.000 0.000
Tl: 0.000 0.000 0.500
Tl: 0.000 0.500 0.000
Tl: 0.500 0.000 0.000
Hg: 0.500 0.500 0.500

Values from the calculation:
Density of states at the Fermi level (states/eV/cell): 3.9
Crystal system: cubic
ΔE_f (eV per atom): 0.53
Space-group type: No. 221


Record 7
## HfTl2Hg (PBE-GGA)

Data for a geometry-optimized HfTl2Hg structure.

a = 11.362 Å, b = 11.362 Å, c = 11.362 Å
α = 16.87°, β = 16.87°, γ = 16.87°
Positions (direct):
Hf: 0.000 0.000 0.000
Tl: 0.087 0.087 0.087
Tl: 0.913 0.913 0.913
Hg: 0.500 0.500 0.500

Values from the calculation:
Density of states at the Fermi level (states/eV/cell): 2.2
Crystal system: trigonal
ΔE_f (eV per atom): 0.33
Space-group type: No. 166


Record 8
## Hf7Tl2Hg2 (PBE-GGA)

Data for a geometry-optimized Hf7Tl2Hg2 structure.

a = 5.786 Å, b = 5.786 Å, c = 7.968 Å
α = 101.97°, β = 101.97°, γ = 100.84°
Positions (direct):
Hf: 0.000 0.000 0.000
Hf: 0.101 0.472 0.828
Hf: 0.118 0.118 0.386
Hf: 0.472 0.101 0.828
Hf: 0.528 0.899 0.172
Hf: 0.882 0.882 0.614
Hf: 0.899 0.528 0.172
Tl: 0.301 0.699 0.500
Tl: 0.699 0.301 0.500
Hg: 0.398 0.398 0.179
Hg: 0.602 0.602 0.821

Values from the calculation:
Density of states at the Fermi level (states/eV/cell): 11.2
Crystal system: monoclinic
ΔE_f (eV per atom): 0.12
Space-group type: No. 12